1.
V2HPbO6 | PBE with a Hubbard U | optimized geometry

CIF file:
```
data_V2HPbO6
_cell_length_a 5.917
_cell_length_b 7.837
_cell_length_c 7.837
_cell_angle_alpha 91.44
_cell_angle_beta 81.93
_cell_angle_gamma 81.93
_space_group_name_H-M_alt 'P 1'
_space_group_IT_number 1
_space_group_name_Hall 'P 1'
loop_
_atom_site_label
_atom_site_type_symbol
_atom_site_fract_x
_atom_site_fract_y
_atom_site_fract_z
_atom_site_occupancy
V1 V 0.258 0.875 0.696 1
V2 V 0.242 0.304 0.125 1
V3 V 0.742 0.125 0.304 1
V4 V 0.758 0.696 0.875 1
H1 H 0.250 0.199 0.801 1
H2 H 0.750 0.801 0.199 1
Pb1 Pb 0.250 0.790 0.210 1
Pb2 Pb 0.750 0.210 0.790 1
O1 O 0.178 0.102 0.706 1
O2 O 0.322 0.294 0.898 1
O3 O 0.822 0.898 0.294 1
O4 O 0.678 0.706 0.102 1
O5 O 0.301 0.787 0.492 1
O6 O 0.199 0.508 0.213 1
O7 O 0.699 0.213 0.508 1
O8 O 0.801 0.492 0.787 1
O9 O 0.019 0.798 0.830 1
O10 O 0.481 0.170 0.202 1
O11 O 0.981 0.202 0.170 1
O12 O 0.519 0.830 0.798 1
```

Output
- density of states at the Fermi level (states/eV/f.u.) = 1.18
- E_tot (eV/cell) = -135.0
- crystal system = monoclinic

2.
VH2PbO4 | PBE with a Hubbard U | optimized geometry

CIF file:
```
data_VH2PbO4
_cell_length_a 4.483
_cell_length_b 5.055
_cell_length_c 5.055
_cell_angle_alpha 74.08
_cell_angle_beta 63.68
_cell_angle_gamma 63.68
_space_group_name_H-M_alt 'P 1'
_space_group_IT_number 1
_space_group_name_Hall 'P 1'
loop_
_atom_site_label
_atom_site_type_symbol
_atom_site_fract_x
_atom_site_fract_y
_atom_site_fract_z
_atom_site_occupancy
V1 V 0.500 0.500 0.500 1
H1 H 0.172 0.328 0.328 1
H2 H 0.828 0.672 0.672 1
Pb1 Pb 0.000 0.000 0.000 1
O1 O 0.395 0.209 0.449 1
O2 O 0.052 0.791 0.551 1
O3 O 0.948 0.449 0.209 1
O4 O 0.605 0.551 0.791 1
```

Output
- density of states at the Fermi level (states/eV/f.u.) = 0.00
- E_tot (eV/cell) = -47.8
- crystal system = orthorhombic

3.
VZnHPbO5 | PBE with a Hubbard U | optimized geometry

CIF file:
```
data_VZnHPbO5
_cell_length_a 6.187
_cell_length_b 7.695
_cell_length_c 9.539
_cell_angle_alpha 90.00
_cell_angle_beta 90.00
_cell_angle_gamma 90.00
_space_group_name_H-M_alt 'P 1'
_space_group_IT_number 1
_space_group_name_Hall 'P 1'
loop_
_atom_site_label
_atom_site_type_symbol
_atom_site_fract_x
_atom_site_fract_y
_atom_site_fract_z
_atom_site_occupancy
V1 V 0.750 0.870 0.183 1
V2 V 0.750 0.370 0.317 1
V3 V 0.250 0.130 0.817 1
V4 V 0.250 0.630 0.683 1
Zn1 Zn 0.000 0.500 0.000 1
Zn2 Zn 0.500 0.000 0.500 1
Zn3 Zn 0.500 0.500 0.000 1
Zn4 Zn 0.000 0.000 0.500 1
H1 H 0.250 0.758 0.015 1
H2 H 0.250 0.258 0.485 1
H3 H 0.750 0.242 0.985 1
H4 H 0.750 0.742 0.515 1
Pb1 Pb 0.250 0.633 0.322 1
Pb2 Pb 0.250 0.133 0.178 1
Pb3 Pb 0.750 0.367 0.678 1
Pb4 Pb 0.750 0.867 0.822 1
O1 O 0.750 0.689 0.070 1
O2 O 0.750 0.189 0.430 1
O3 O 0.250 0.311 0.930 1
O4 O 0.250 0.811 0.570 1
O5 O 0.750 0.047 0.075 1
O6 O 0.750 0.547 0.425 1
O7 O 0.250 0.953 0.925 1
O8 O 0.250 0.453 0.575 1
O9 O 0.988 0.879 0.287 1
O10 O 0.512 0.379 0.213 1
O11 O 0.488 0.121 0.713 1
O12 O 0.012 0.621 0.787 1
O13 O 0.012 0.121 0.713 1
O14 O 0.488 0.621 0.787 1
O15 O 0.512 0.879 0.287 1
O16 O 0.988 0.379 0.213 1
O17 O 0.250 0.644 0.065 1
O18 O 0.250 0.144 0.435 1
O19 O 0.750 0.356 0.935 1
O20 O 0.750 0.856 0.565 1
```

Output
- density of states at the Fermi level (states/eV/f.u.) = 0.00
- E_tot (eV/cell) = -218.1
- crystal system = orthorhombic

- Among the records above, which one has the highest E_tot?
  VH2PbO4

- Look up the E_tot of the first one.
  -135.0 eV/cell

- density of states at the Fermi level of number 3 (VZnHPbO5)?
  0.00 states/eV/f.u.